Entry 1:
Below is crystalline ZnIn3Mo at its relaxed geometry, with properties calculated at the GGA-PBE level.

Values from the calculation:
polymorph energy (0 for the lowest one): 0 meV/atom
total moment: 0.99 μB per formula unit
energy: -17.0 eV/f.u.
DOS(E_F): 5.961 states/eV/f.u.
formation energy from the elements: 65 kJ/mol of atoms

abc: 5.341 5.341 5.341
angles: 90.00 90.00 90.00
Atoms (fractional coordinates):
In1 0.000 0.500 0.000
In2 0.000 0.000 0.500
In3 0.500 0.000 0.000
Mo1 0.000 0.000 0.000
Zn1 0.500 0.500 0.500


Entry 2:
Below is crystalline TiTeOsI2 at its relaxed geometry, with properties calculated at the GGA-PBE level.

Values from the calculation:
polymorph energy (0 for the lowest one): 0 meV/atom
ΔE_f (raw): 505 kJ/mol of formula units
total moment: 0.10 μB per formula unit
energy: -20.1 eV/f.u.
DOS(E_F): 9.903 states/eV/f.u.

abc: 5.381 5.381 5.154
angles: 90.00 90.00 90.00
Atoms (fractional coordinates):
I1 0.000 0.500 0.000
I2 0.500 0.000 0.000
Te1 0.000 0.000 0.500
Ti1 0.500 0.500 0.500
Os1 0.000 0.000 0.000


Entry 3:
Below is crystalline Ba3Sr3Ca2 at its relaxed geometry, with properties calculated at the GGA-PBE level.

Values from the calculation:
polymorph energy (0 for the lowest one): 0 meV/atom
total moment: 0.00 μB per formula unit
energy: -14.6 eV/f.u.
DOS(E_F): 9.992 states/eV/f.u.
formation energy from the elements: 2 kJ/mol of atoms

abc: 6.084 6.151 12.531
angles: 104.21 104.05 90.00
Atoms (fractional coordinates):
Ba1 0.366 0.366 0.732
Ba2 0.634 0.634 0.268
Ba3 0.500 0.000 0.000
Ca1 0.251 0.751 0.501
Ca2 0.749 0.249 0.499
Sr1 0.135 0.135 0.270
Sr2 0.865 0.865 0.730
Sr3 0.000 0.500 0.000


Entry 4:
Below is crystalline PmTlZnPd at its relaxed geometry, with properties calculated at the GGA-PBE level.

Values from the calculation:
total moment: 0.00 μB per formula unit
energy: -15.3 eV/f.u.
DOS(E_F): 3.170 states/eV/f.u.
formation energy from the elements: -42 kJ/mol of atoms

abc: 4.933 4.933 4.933
angles: 60.00 60.00 60.00
Atoms (fractional coordinates):
Tl1 0.250 0.250 0.250
Pd1 0.500 0.500 0.500
Pm1 0.750 0.750 0.750
Zn1 0.000 0.000 0.000


Entry 5:
Below is crystalline Li2CoRh at its relaxed geometry, with properties calculated at the GGA-PBE level.

Values from the calculation:
polymorph energy (0 for the lowest one): 71 meV/atom
total moment: 1.33 μB per formula unit
energy: -18.1 eV/f.u.
DOS(E_F): 4.223 states/eV/f.u.
formation energy from the elements: 3 kJ/mol of atoms

abc: 2.574 2.574 8.758
angles: 90.00 90.00 116.69
Atoms (fractional coordinates):
Li1 0.000 0.000 0.001
Li2 0.000 0.000 0.499
Co1 0.500 0.500 0.750
Rh1 0.500 0.500 0.250


Entry 6:
Below is crystalline Ac2PmPaP4 at its relaxed geometry, with properties calculated at the GGA-PBE level.

Values from the calculation:
total moment: 0.00 μB per formula unit
energy: -55.5 eV/f.u.
DOS(E_F): 4.898 states/eV/f.u.
formation energy from the elements: -138 kJ/mol of atoms

abc: 4.217 7.279 7.389
angles: 109.20 90.00 90.00
Atoms (fractional coordinates):
Ac1 0.500 0.000 0.500
Ac2 0.000 0.500 0.500
P1 0.500 0.769 0.780
P2 0.500 0.231 0.220
P3 0.000 0.753 0.225
P4 0.000 0.247 0.775
Pm1 0.500 0.500 0.000
Pa1 0.000 0.000 0.000